The following is a PBE-GGA calculation of a relaxed PuC crystal, from the Alexandria database.

Cell and atoms, written as CIF:
```
data_PuC
_space_group_name_H-M_alt 'P -1'
_space_group_IT_number 2
_cell_length_a 3.645
_cell_length_b 4.239
_cell_length_c 4.298
_cell_angle_alpha 78.83
_cell_angle_beta 73.82
_cell_angle_gamma 76.76
loop_
_space_group_symop_operation_xyz
'x,y,z'
'-x,-y,-z'
loop_
_atom_site_label
_atom_site_fract_x
_atom_site_fract_y
_atom_site_fract_z
Pu1 0.178 0.225 0.232
C1 0.488 0.375 0.640
```

## Properties
Excess energy over the best structure of this formula in the dataset in meV per atom: 0
Energy relative to the elements in eV per atom: 0.007

The following is a PBE-GGA calculation of a relaxed RbPuC crystal, from the Alexandria database.

Cell and atoms, written as CIF:
```
data_RbPuC
_space_group_name_H-M_alt 'P n m a'
_space_group_IT_number 62
_cell_length_a 25.893
_cell_length_b 3.440
_cell_length_c 3.437
_cell_angle_alpha 90.00
_cell_angle_beta 90.00
_cell_angle_gamma 90.00
loop_
_space_group_symop_operation_xyz
'x,y,z'
'-x,-y,-z'
'-x+1/2,-y,z+1/2'
'x+1/2,y,-z+1/2'
'x+1/2,-y+1/2,-z+1/2'
'-x+1/2,y+1/2,z+1/2'
'-x,y+1/2,-z'
'x,-y+1/2,z'
loop_
_atom_site_label
_atom_site_fract_x
_atom_site_fract_y
_atom_site_fract_z
Rb1 0.086 0.250 0.055
Pu1 0.210 0.250 0.052
C1 0.188 0.750 0.552
```

## Properties
Energy relative to the elements in eV per atom: 0.499

The following is a PBE-GGA calculation of a relaxed PuReC crystal, from the Alexandria database.

Cell and atoms, written as CIF:
```
data_PuReC
_space_group_name_H-M_alt 'I 4 m m'
_space_group_IT_number 107
_space_group_name_Hall 'I 4 -2'
_cell_length_a 2.890
_cell_length_b 2.890
_cell_length_c 10.526
_cell_angle_alpha 90.00
_cell_angle_beta 90.00
_cell_angle_gamma 90.00
loop_
_atom_site_label
_atom_site_fract_x
_atom_site_fract_y
_atom_site_fract_z
Pu1 0.000 0.000 0.000
Re1 0.000 0.000 0.278
C1 0.000 0.000 0.710
```

## Properties
Excess energy over the best structure of this formula in the dataset in meV per atom: 75
Energy relative to the elements in eV per atom: 0.352

The following is a PBE-GGA calculation of a relaxed PuReC crystal, from the Alexandria database.

Cell and atoms, written as CIF:
```
data_PuReC
_space_group_name_H-M_alt 'P -6 m 2'
_space_group_IT_number 187
_space_group_name_Hall 'P -6 2'
_cell_length_a 3.4956
_cell_length_b 3.4956
_cell_length_c 4.6931
_cell_angle_alpha 90.00
_cell_angle_beta 90.00
_cell_angle_gamma 120.00
loop_
_atom_site_label
_atom_site_fract_x
_atom_site_fract_y
_atom_site_fract_z
Pu1 0.0000 0.0000 0.0000
Re1 0.6667 0.3333 0.5000
C1 0.3333 0.6667 0.5000
```

## Properties
Excess energy over the best structure of this formula in the dataset in meV per atom: 0
Energy relative to the elements in eV per atom: 0.277

The following is a PBE-GGA calculation of a relaxed PuRe2SiC crystal, from the Alexandria database.

Cell and atoms, written as CIF:
```
data_PuRe2SiC
_space_group_name_H-M_alt 'C m c m'
_space_group_IT_number 63
_space_group_name_Hall '-C 2c 2'
_cell_length_a 3.916
_cell_length_b 10.955
_cell_length_c 7.371
_cell_angle_alpha 90.00
_cell_angle_beta 90.00
_cell_angle_gamma 90.00
loop_
_atom_site_label
_atom_site_fract_x
_atom_site_fract_y
_atom_site_fract_z
Pu1 0.000 0.041 0.250
Re1 0.000 0.326 0.060
Si1 0.000 0.236 0.750
C1 0.000 0.500 0.000
```

## Properties
Formation energy from raw total energies in eV per atom: -0.287

The following is a PBE-GGA calculation of a relaxed PuRe2Si2C crystal, from the Alexandria database.

Cell and atoms, written as CIF:
```
data_PuRe2Si2C
_space_group_name_H-M_alt 'P 4/m m m'
_space_group_IT_number 123
_space_group_name_Hall '-P 4 2'
_cell_length_a 4.151
_cell_length_b 4.151
_cell_length_c 5.266
_cell_angle_alpha 90.00
_cell_angle_beta 90.00
_cell_angle_gamma 90.00
loop_
_atom_site_label
_atom_site_fract_x
_atom_site_fract_y
_atom_site_fract_z
Pu1 0.000 0.000 0.000
Re1 0.000 0.500 0.500
Si1 0.500 0.500 0.219
C1 0.000 0.000 0.500
```

## Properties
Formation energy from raw total energies in eV per atom: -0.294

The following is a PBE-GGA calculation of a relaxed PuTa2ReC4 crystal, from the Alexandria database.

Cell and atoms, written as CIF:
```
data_PuTa2ReC4
_space_group_name_H-M_alt 'C m c m'
_space_group_IT_number 63
_space_group_name_Hall '-C 2c 2'
_cell_length_a 3.233
_cell_length_b 11.391
_cell_length_c 11.208
_cell_angle_alpha 90.00
_cell_angle_beta 90.00
_cell_angle_gamma 90.00
loop_
_atom_site_label
_atom_site_fract_x
_atom_site_fract_y
_atom_site_fract_z
Pu1 0.000 0.105 0.250
Ta1 0.000 0.372 0.037
Re1 0.000 0.158 0.750
C1 0.000 0.000 0.000
C2 0.000 0.265 0.613
C3 0.000 0.445 0.250
```

## Properties
Energy relative to the elements in eV per atom: -0.179

The following is a PBE-GGA calculation of a relaxed TbPu2ReC4 crystal, from the Alexandria database.

Cell and atoms, written as CIF:
```
data_TbPu2ReC4
_space_group_name_H-M_alt 'C m c m'
_space_group_IT_number 63
_space_group_name_Hall '-C 2c 2'
_cell_length_a 3.469
_cell_length_b 11.664
_cell_length_c 12.355
_cell_angle_alpha 90.00
_cell_angle_beta 90.00
_cell_angle_gamma 90.00
loop_
_atom_site_label
_atom_site_fract_x
_atom_site_fract_y
_atom_site_fract_z
Tb1 0.000 0.107 0.250
Pu1 0.000 0.368 0.037
Re1 0.000 0.157 0.750
C1 0.000 0.000 0.000
C2 0.000 0.261 0.629
C3 0.000 0.435 0.250
```

## Properties
Energy relative to the elements in eV per atom: 0.056

The following is a PBE-GGA calculation of a relaxed PuZr2ReC4 crystal, from the Alexandria database.

Cell and atoms, written as CIF:
```
data_PuZr2ReC4
_space_group_name_H-M_alt 'C m c m'
_space_group_IT_number 63
_space_group_name_Hall '-C 2c 2'
_cell_length_a 3.335
_cell_length_b 11.701
_cell_length_c 11.632
_cell_angle_alpha 90.00
_cell_angle_beta 90.00
_cell_angle_gamma 90.00
loop_
_atom_site_label
_atom_site_fract_x
_atom_site_fract_y
_atom_site_fract_z
Pu1 0.000 0.102 0.250
Zr1 0.000 0.370 0.038
Re1 0.000 0.160 0.750
C1 0.000 0.000 0.000
C2 0.000 0.263 0.621
C3 0.000 0.438 0.250
```

## Properties
Energy relative to the elements in eV per atom: -0.245

The following is a PBE-GGA calculation of a relaxed Pu4RhC2 crystal, from the Alexandria database.

Cell and atoms, written as CIF:
```
data_Pu4RhC2
_space_group_name_H-M_alt 'C m c m'
_space_group_IT_number 63
_space_group_name_Hall '-C 2c 2'
_cell_length_a 3.661
_cell_length_b 12.214
_cell_length_c 11.671
_cell_angle_alpha 90.00
_cell_angle_beta 90.00
_cell_angle_gamma 90.00
loop_
_atom_site_label
_atom_site_fract_x
_atom_site_fract_y
_atom_site_fract_z
Pu1 0.000 0.000 0.000
Pu2 0.000 0.272 0.121
Pu3 0.000 0.420 0.750
Rh1 0.000 0.080 0.750
C1 0.000 0.360 0.551
```

## Properties
Energy relative to the elements in eV per atom: -0.014

The following is a PBE-GGA calculation of a relaxed PuRh3C crystal, from the Alexandria database.

Cell and atoms, written as CIF:
```
data_PuRh3C
_space_group_name_H-M_alt 'P m -3 m'
_space_group_IT_number 221
_space_group_name_Hall '-P 4 2 3'
_cell_length_a 4.215
_cell_length_b 4.215
_cell_length_c 4.215
_cell_angle_alpha 90.00
_cell_angle_beta 90.00
_cell_angle_gamma 90.00
loop_
_atom_site_label
_atom_site_fract_x
_atom_site_fract_y
_atom_site_fract_z
Pu1 0.000 0.000 0.000
Rh1 0.000 0.500 0.500
C1 0.500 0.500 0.500
```

## Properties
Energy relative to the elements in eV per atom: -0.193

The following is a PBE-GGA calculation of a relaxed Pu2RhC crystal, from the Alexandria database.

Cell and atoms, written as CIF:
```
data_Pu2RhC
_space_group_name_H-M_alt 'R -3 m'
_space_group_IT_number 166
_space_group_name_Hall '-R 3 2"'
_cell_length_a 3.4996
_cell_length_b 3.4996
_cell_length_c 20.6745
_cell_angle_alpha 90.00
_cell_angle_beta 90.00
_cell_angle_gamma 120.00
loop_
_atom_site_label
_atom_site_fract_x
_atom_site_fract_y
_atom_site_fract_z
Pu1 0.0000 0.0000 0.2359
Rh1 0.0000 0.0000 0.0000
C1 0.0000 0.0000 0.5000
```

## Properties
Excess energy over the best structure of this formula in the dataset in meV per atom: 0
Energy relative to the elements in eV per atom: -0.142

Number 1: density of states at the Fermi level 2.61 states/eV/atom. Number 2: density of states at the Fermi level 2.33 states/eV/atom. Number 3: density of states at the Fermi level 1.65 states/eV/atom. Number 4: density of states at the Fermi level 2.54 states/eV/atom. Number 5: density of states at the Fermi level 2.16 states/eV/atom. Number 6: density of states at the Fermi level 1.84 states/eV/atom. Number 7: density of states at the Fermi level 0.93 states/eV/atom. Number 8: density of states at the Fermi level 1.56 states/eV/atom. Number 9: density of states at the Fermi level 1.18 states/eV/atom. Number 10: density of states at the Fermi level 4.40 states/eV/atom. Number 11: density of states at the Fermi level 3.47 states/eV/atom. Number 12: density of states at the Fermi level 3.59 states/eV/atom.